1.
Material: Dy14YMg
Method: DFT, GGA-PBE
State: relaxed

Calculated values
The calculation puts the final energy at -4.53 eV/atom. The calculation puts the spin magnetization at 0.000 μB/atom. The value obtained for the formation energy is 8 kJ/mol of formula units.

```
data_Dy14YMg
_chemical_formula_sum 'Dy28 Y2 Mg2'
_cell_length_a 11.254
_cell_length_b 7.171
_cell_length_c 12.422
_cell_angle_alpha 90.00
_cell_angle_beta 90.00
_cell_angle_gamma 90.00
_space_group_name_H-M_alt 'A m m 2'
_space_group_IT_number 38
loop_
_space_group_symop_operation_xyz
'x,y,z'
'-x,-y,z'
'-x,y,z'
'x,-y,z'
'x,y+1/2,z+1/2'
'-x,-y+1/2,z+1/2'
'-x,y+1/2,z+1/2'
'x,-y+1/2,z+1/2'
loop_
_atom_site_label
_atom_site_type_symbol
_atom_site_fract_x
_atom_site_fract_y
_atom_site_fract_z
_atom_site_occupancy
Dy1 Dy 0.000 0.000 0.000 1
Dy2 Dy 0.000 0.000 0.499 1
Dy3 Dy 0.000 0.248 0.250 1
Dy4 Dy 0.247 0.000 0.667 1
Dy5 Dy 0.252 0.250 0.416 1
Dy6 Dy 0.254 0.000 0.167 1
Dy7 Dy 0.500 0.243 0.748 1
Y1 Y 0.500 0.000 0.503 1
Mg1 Mg 0.500 0.000 0.000 1
```

***

2.
Material: Dy7Y2Mg2
Method: DFT, GGA-PBE
State: relaxed

Calculated values
The calculation puts the final energy at -4.23 eV/atom. The calculation puts the spin magnetization at 0.000 μB/atom. The value obtained for the formation energy is 175 kJ/mol of formula units. As for the excess energy over the best structure of this formula in the dataset: 0.0898 eV/atom.

```
data_Dy7Y2Mg2
_chemical_formula_sum 'Dy14 Y4 Mg4'
_cell_length_a 11.904
_cell_length_b 11.014
_cell_length_c 5.661
_cell_angle_alpha 90.00
_cell_angle_beta 112.11
_cell_angle_gamma 90.00
_space_group_name_H-M_alt 'C 1 2/m 1'
_space_group_IT_number 12
loop_
_space_group_symop_operation_xyz
'x,y,z'
'-x,-y,-z'
'-x,y,-z'
'x,-y,z'
'x+1/2,y+1/2,z'
'-x+1/2,-y+1/2,-z'
'-x+1/2,y+1/2,-z'
'x+1/2,-y+1/2,z'
loop_
_atom_site_label
_atom_site_type_symbol
_atom_site_fract_x
_atom_site_fract_y
_atom_site_fract_z
_atom_site_occupancy
Dy1 Dy 0.000 0.000 0.000 1
Dy2 Dy 0.192 0.205 0.185 1
Dy3 Dy 0.224 0.000 0.674 1
Y1 Y 0.000 0.221 0.500 1
Mg1 Mg 0.057 0.500 0.785 1
```